Ca2TlCrF8 | Alexandria | GGA+U | optimized geometry; volume = 197.1 Å³ per cell; magnetic moment = 3.0 μB/cell; DOS(E_F) = 0.0 states/eV/f.u.; final energy = -5.5349 eV/atom
1.0
5.1394 0.0281 0.0007
0.0554 5.1710 0.0004
0.0142 0.0176 7.4158
Tl Cr F Ca
1 1 8 2
Direct
0.0000 0.0000 0.5000
0.0000 0.0000 0.0000
0.6074 0.7120 0.4994
0.8236 0.2093 0.8173
0.1783 0.7922 0.8176
0.2868 0.2593 0.0003
0.3926 0.2880 0.5006
0.8217 0.2078 0.1824
0.7132 0.7407 0.9997
0.1764 0.7907 0.1827
0.5000 0.5002 0.2448
0.5000 0.4998 0.7552